DFT (PBE) results for crystalline Tb2TmGa at its relaxed geometry.

extended XYZ file:
```
4
Lattice="3.6086 0.0000 0.0000 1.8043 3.1252 0.0000 1.8043 1.0417 10.1566" Properties=species:S:1:pos:R:3 pbc="T T T"
Tb 1.8043 1.0417 2.1890
Tb 1.8043 1.0417 7.9649
Ga 3.6086 2.0834 0.0091
Tm 3.6086 2.0834 5.0719
```

Formation enthalpy at 0 K: -18 kJ per mole of atoms
Total energy: -4.38 eV per atom
Space group: No. 160
Density: 8.1 g/cm3